A relaxed HfZrNO2 crystal. Source: Alexandria, functional GGA-PBE.

Cell lengths 4.012, 4.012, 4.347 Å; angles 90.00, 90.00, 90.00 degrees
Space group P4/mmm (No. 123)
Asymmetric unit:
Hf1 0.000 0.000 0.000 (multiplicity 1)
Zr1 0.500 0.500 0.500 (multiplicity 1)
N1 0.500 0.500 0.000 (multiplicity 1)
O1 0.000 0.500 0.500 (multiplicity 2)

Computed properties:
The calculation puts the total energy at -8.7426 eV per atom. As for the formation energy (no corrections): -1.39 eV/atom. The magnetization is 0.21 Bohr magnetons per cell. For the density, the calculation gives 7.5 g cm⁻³.